[1]
# Ir2PbW

Ir2PbW after structural relaxation (PBE-GGA, Alexandria via LeMat-Bulk).

Summary:
Space group: Pmm2 (25)
Energy of formation from the pure elements in eV per atom: 0.47
Spin magnetization in μB per cell: 0.0
Final energy in eV/atom: -8.1272

a b c (Å): 2.8862 3.9669 6.2487
angles (deg): 90.00 90.00 90.00
Positions (direct):
1 Ir 0.5000 0.5000 0.2249
2 Ir 0.0000 0.0000 0.9821
3 W 0.5000 0.5000 0.8112
4 Pb 0.0000 0.0000 0.4818

---

[2]
# Ir2PbW

Ir2PbW after structural relaxation (PBE-GGA, Alexandria via LeMat-Bulk).

Summary:
Space group: I-4m2 (119)
Energy of formation from the pure elements in eV per atom: 0.54
Spin magnetization in μB per cell: 0.0
Final energy in eV/atom: -8.0592

a b c (Å): 4.9888 4.9888 4.9888
angles (deg): 131.85 131.85 70.46
Positions (direct):
1 W 0.7500 0.2500 0.5000
2 Pb 0.5000 0.5000 0.0000
3 Ir 0.2500 0.7500 0.5000
4 Ir 0.0000 0.0000 0.0000

---

[3]
# Ir2PbW

Ir2PbW after structural relaxation (PBE-GGA, Alexandria via LeMat-Bulk).

Summary:
Space group: R3m (160)
Energy of formation from the pure elements in eV per atom: 0.57
Spin magnetization in μB per cell: 0.0
Final energy in eV/atom: -8.0267

a b c (Å): 9.4063 9.4063 9.4063
angles (deg): 18.00 18.00 18.00
Positions (direct):
1 Ir 0.0012 0.0012 0.0012
2 Ir 0.2539 0.2539 0.2539
3 Pb 0.5026 0.5026 0.5026
4 W 0.7423 0.7423 0.7423

---

> Which of these has the highest final energy?

number 3

---

> Which value of energy of formation from the pure elements does entry 3 give?

0.57 eV per atom